Entry 1:
# PIr3 | Alexandria via LeMat-Bulk | PBE-GGA | relaxed
data_PIr3
_cell_length_a 2.813
_cell_length_b 2.813
_cell_length_c 7.074
_cell_angle_alpha 90.00
_cell_angle_beta 90.00
_cell_angle_gamma 90.00
_symmetry_space_group_name_H-M 'P 4/m m m'
_symmetry_Int_Tables_number 123
_symmetry_space_group_name_Hall '-P 4 2'
loop_
_atom_site_label
_atom_site_type_symbol
_atom_site_fract_x
_atom_site_fract_y
_atom_site_fract_z
P1 P 0.000 0.000 0.000
Ir1 Ir 0.000 0.000 0.500
Ir2 Ir 0.500 0.500 0.222
# Energy in eV per cell: -31.5
# Offset from the most stable computed form in meV/atom: 136.5
# DFT formation energy in eV/atom: 0.11


Entry 2:
# K2Rh2WS6 | Alexandria via LeMat-Bulk | PBE-GGA | relaxed
data_K2Rh2WS6
_cell_length_a 6.402
_cell_length_b 10.534
_cell_length_c 7.501
_cell_angle_alpha 90.00
_cell_angle_beta 105.00
_cell_angle_gamma 90.00
_symmetry_space_group_name_H-M 'C 1 2/m 1'
_symmetry_Int_Tables_number 12
loop_
_symmetry_equiv_pos_as_xyz
'x,y,z'
'-x,-y,-z'
'-x,y,-z'
'x,-y,z'
'x+1/2,y+1/2,z'
'-x+1/2,-y+1/2,-z'
'-x+1/2,y+1/2,-z'
'x+1/2,-y+1/2,z'
loop_
_atom_site_label
_atom_site_type_symbol
_atom_site_fract_x
_atom_site_fract_y
_atom_site_fract_z
K1 K 0.000 0.167 0.000
Rh1 Rh 0.000 0.329 0.500
W1 W 0.000 0.000 0.500
S1 S 0.213 0.500 0.670
S2 S 0.233 0.166 0.676
# Energy in eV per cell: -123.3
# ΔE_f (raw) in eV/f.u.: -7.03


Entry 3:
# NdY2Ni | Alexandria via LeMat-Bulk | PBE-GGA | relaxed
data_NdY2Ni
_cell_length_a 3.7526
_cell_length_b 3.7526
_cell_length_c 28.3080
_cell_angle_alpha 90.00
_cell_angle_beta 90.00
_cell_angle_gamma 120.00
_symmetry_space_group_name_H-M 'R -3 m'
_symmetry_Int_Tables_number 166
_symmetry_space_group_name_Hall '-R 3 2"'
loop_
_atom_site_label
_atom_site_type_symbol
_atom_site_fract_x
_atom_site_fract_y
_atom_site_fract_z
Nd1 Nd 0.0000 0.0000 0.0000
Y1 Y 0.0000 0.0000 0.2252
Ni1 Ni 0.0000 0.0000 0.5000
# Energy in eV per cell: -71.4
# Offset from the most stable computed form in meV/atom: 134.4
# DFT formation energy in eV/atom: -0.08


Entry 4:
# ReTc2Pt | Alexandria via LeMat-Bulk | PBE-GGA | relaxed
data_ReTc2Pt
_cell_length_a 2.747
_cell_length_b 2.747
_cell_length_c 7.891
_cell_angle_alpha 90.00
_cell_angle_beta 90.00
_cell_angle_gamma 90.00
_symmetry_space_group_name_H-M 'P 4/m m m'
_symmetry_Int_Tables_number 123
_symmetry_space_group_name_Hall '-P 4 2'
loop_
_atom_site_label
_atom_site_type_symbol
_atom_site_fract_x
_atom_site_fract_y
_atom_site_fract_z
Re1 Re 0.000 0.000 0.000
Tc1 Tc 0.500 0.500 0.242
Pt1 Pt 0.000 0.000 0.500
# Energy in eV per cell: -39.5
# Offset from the most stable computed form in meV/atom: 34.5
# DFT formation energy in eV/atom: -0.07


Entry 5:
# InAg3Rh | Alexandria via LeMat-Bulk | PBE-GGA | relaxed
data_InAg3Rh
_cell_length_a 5.069
_cell_length_b 5.069
_cell_length_c 5.069
_cell_angle_alpha 90.00
_cell_angle_beta 90.00
_cell_angle_gamma 90.00
_symmetry_space_group_name_H-M 'P m -3 m'
_symmetry_Int_Tables_number 221
_symmetry_space_group_name_Hall '-P 4 2 3'
loop_
_atom_site_label
_atom_site_type_symbol
_atom_site_fract_x
_atom_site_fract_y
_atom_site_fract_z
In1 In 0.000 0.000 0.000
Ag1 Ag 0.000 0.500 0.500
Rh1 Rh 0.500 0.500 0.500
# Energy in eV per cell: -14.6
# Offset from the most stable computed form in meV/atom: 0.0
# DFT formation energy in eV/atom: 0.81


Entry 6:
# Cd2ReP | Alexandria via LeMat-Bulk | PBE-GGA | relaxed
data_Cd2ReP
_cell_length_a 2.931
_cell_length_b 3.751
_cell_length_c 14.332
_cell_angle_alpha 90.00
_cell_angle_beta 90.00
_cell_angle_gamma 90.00
_symmetry_space_group_name_H-M 'I m m m'
_symmetry_Int_Tables_number 71
_symmetry_space_group_name_Hall '-I 2 2'
loop_
_atom_site_label
_atom_site_type_symbol
_atom_site_fract_x
_atom_site_fract_y
_atom_site_fract_z
Cd1 Cd 0.000 0.000 0.181
Re1 Re 0.000 0.500 0.000
P1 P 0.000 0.500 0.500
# Energy in eV per cell: -36.4
# DFT formation energy in eV/atom: 0.37


Entry 7:
# InGaAg4 | Alexandria via LeMat-Bulk | PBE-GGA | relaxed
data_InGaAg4
_cell_length_a 7.835
_cell_length_b 7.835
_cell_length_c 7.835
_cell_angle_alpha 90.00
_cell_angle_beta 90.00
_cell_angle_gamma 90.00
_symmetry_space_group_name_H-M 'F -4 3 m'
_symmetry_Int_Tables_number 216
_symmetry_space_group_name_Hall 'F -4 2 3'
loop_
_atom_site_label
_atom_site_type_symbol
_atom_site_fract_x
_atom_site_fract_y
_atom_site_fract_z
In1 In 0.000 0.000 0.000
Ga1 Ga 0.250 0.250 0.750
Ag1 Ag 0.125 0.125 0.375
# Energy in eV per cell: -66.6
# Offset from the most stable computed form in meV/atom: 85.3
# DFT formation energy in eV/atom: 0.09


Entry 8:
# KZn2Rh | Alexandria via LeMat-Bulk | PBE-GGA | relaxed
data_KZn2Rh
_cell_length_a 5.201
_cell_length_b 5.201
_cell_length_c 16.580
_cell_angle_alpha 90.00
_cell_angle_beta 90.00
_cell_angle_gamma 90.00
_symmetry_space_group_name_H-M 'I 41/a m d'
_symmetry_Int_Tables_number 141
loop_
_symmetry_equiv_pos_as_xyz
'x,y,z'
'-x,-y,-z'
'-y+1/4,x+3/4,z+1/4'
'y+1/4,-x+3/4,-z+1/4'
'-x+1/2,-y,z+1/2'
'x+1/2,y,-z+1/2'
'y+1/4,-x+1/4,z+3/4'
'-y+1/4,x+1/4,-z+3/4'
'x,-y,-z'
'-x,y,z'
'-y+1/4,-x+1/4,-z+3/4'
'y+1/4,x+1/4,z+3/4'
'-x+1/2,y,-z+1/2'
'x+1/2,-y,z+1/2'
'y+1/4,x+3/4,-z+1/4'
'-y+1/4,-x+3/4,z+1/4'
'x+1/2,y+1/2,z+1/2'
'-x+1/2,-y+1/2,-z+1/2'
'-y+3/4,x+1/4,z+3/4'
'y+3/4,-x+1/4,-z+3/4'
'-x,-y+1/2,z'
'x,y+1/2,-z'
'y+3/4,-x+3/4,z+1/4'
'-y+3/4,x+3/4,-z+1/4'
'x+1/2,-y+1/2,-z+1/2'
'-x+1/2,y+1/2,z+1/2'
'-y+3/4,-x+3/4,-z+1/4'
'y+3/4,x+3/4,z+1/4'
'-x,y+1/2,-z'
'x,-y+1/2,z'
'y+3/4,x+1/4,-z+3/4'
'-y+3/4,-x+1/4,z+3/4'
loop_
_atom_site_label
_atom_site_type_symbol
_atom_site_fract_x
_atom_site_fract_y
_atom_site_fract_z
K1 K 0.000 0.250 0.375
Zn1 Zn 0.000 0.000 0.000
Rh1 Rh 0.000 0.250 0.875
# Energy in eV per cell: -41.6
# Offset from the most stable computed form in meV/atom: 251.5
# DFT formation energy in eV/atom: 0.15


Entry 9:
# Ta2InBr | Alexandria via LeMat-Bulk | PBE-GGA | relaxed
data_Ta2InBr
_cell_length_a 3.053
_cell_length_b 5.049
_cell_length_c 5.305
_cell_angle_alpha 90.00
_cell_angle_beta 90.00
_cell_angle_gamma 90.00
_symmetry_space_group_name_H-M 'P m m m'
_symmetry_Int_Tables_number 47
loop_
_symmetry_equiv_pos_as_xyz
'x,y,z'
'-x,-y,-z'
'-x,-y,z'
'x,y,-z'
'x,-y,-z'
'-x,y,z'
'-x,y,-z'
'x,-y,z'
loop_
_atom_site_label
_atom_site_type_symbol
_atom_site_fract_x
_atom_site_fract_y
_atom_site_fract_z
Ta1 Ta 0.000 0.000 0.000
Ta2 Ta 0.500 0.000 0.500
In1 In 0.000 0.500 0.500
Br1 Br 0.500 0.500 0.000
# Energy in eV per cell: -25.8
# Offset from the most stable computed form in meV/atom: 514.7
# ΔE_f (raw) in eV/f.u.: 2.34


Entry 10:
# NaLiPm | Alexandria via LeMat-Bulk | PBE-GGA | relaxed
data_NaLiPm
_cell_length_a 3.4705
_cell_length_b 3.4705
_cell_length_c 8.7811
_cell_angle_alpha 90.00
_cell_angle_beta 90.00
_cell_angle_gamma 120.00
_symmetry_space_group_name_H-M 'P 3 m 1'
_symmetry_Int_Tables_number 156
loop_
_symmetry_equiv_pos_as_xyz
'x,y,z'
'-y,x-y,z'
'-x+y,-x,z'
'-y,-x,z'
'-x+y,y,z'
'x,x-y,z'
loop_
_atom_site_label
_atom_site_type_symbol
_atom_site_fract_x
_atom_site_fract_y
_atom_site_fract_z
Na1 Na 0.0000 0.0000 0.0000
Li1 Li 0.6667 0.3333 0.3288
Pm1 Pm 0.3333 0.6667 0.6397
# Energy in eV per cell: -7.6
# Offset from the most stable computed form in meV/atom: 0.0
# DFT formation energy in eV/atom: 0.13


Entry 11:
# CaMg6ZnO8 | Alexandria via LeMat-Bulk | PBE-GGA | relaxed
data_CaMg6ZnO8
_cell_length_a 4.376
_cell_length_b 4.376
_cell_length_c 8.669
_cell_angle_alpha 90.00
_cell_angle_beta 90.00
_cell_angle_gamma 90.00
_symmetry_space_group_name_H-M 'P 4/m m m'
_symmetry_Int_Tables_number 123
_symmetry_space_group_name_Hall '-P 4 2'
loop_
_atom_site_label
_atom_site_type_symbol
_atom_site_fract_x
_atom_site_fract_y
_atom_site_fract_z
Ca1 Ca 0.000 0.000 0.000
Mg1 Mg 0.000 0.000 0.500
Mg2 Mg 0.000 0.500 0.256
Mg3 Mg 0.500 0.500 0.500
Zn1 Zn 0.500 0.500 0.000
O1 O 0.000 0.000 0.265
O2 O 0.000 0.500 0.000
O3 O 0.000 0.500 0.500
O4 O 0.500 0.500 0.254
# Energy in eV per cell: -92.5
# Offset from the most stable computed form in meV/atom: 0.0
# ΔE_f (raw) in eV/f.u.: -40.02


Entry 12:
# AlCo2Pb | Alexandria via LeMat-Bulk | PBE-GGA | relaxed
data_AlCo2Pb
_cell_length_a 2.997
_cell_length_b 2.997
_cell_length_c 7.602
_cell_angle_alpha 90.00
_cell_angle_beta 90.00
_cell_angle_gamma 90.00
_symmetry_space_group_name_H-M 'P 4 m m'
_symmetry_Int_Tables_number 99
loop_
_symmetry_equiv_pos_as_xyz
'x,y,z'
'-y,x,z'
'-x,-y,z'
'y,-x,z'
'-x,y,z'
'y,x,z'
'x,-y,z'
'-y,-x,z'
loop_
_atom_site_label
_atom_site_type_symbol
_atom_site_fract_x
_atom_site_fract_y
_atom_site_fract_z
Al1 Al 0.000 0.000 0.000
Co1 Co 0.000 0.000 0.341
Co2 Co 0.500 0.500 0.175
Pb1 Pb 0.500 0.500 0.610
# Energy in eV per cell: -20.8
# Offset from the most stable computed form in meV/atom: 242.3
# DFT formation energy in eV/atom: 0.21